# 1
Computed, not measured: Cs2RbCdP after structural relaxation at the PBE level of DFT.

Output
ΔE_f = -0.016 eV per atom
SG = P4/mmm

Structure (POSCAR):
```
Cs2RbCdP
1.0
7.421 0.000 0.000
0.000 7.421 0.000
0.000 0.000 5.108
Cs Rb Cd P
2 1 1 1
Cartesian
0.000 3.710 0.000
3.710 0.000 0.000
0.000 0.000 2.554
3.710 3.710 2.554
3.710 3.710 0.000
```

# 2
Computed, not measured: CsRbCd2P2 after structural relaxation at the PBE level of DFT.

Output
ΔE_f = -0.325 eV per atom
SG = P-3m1

Structure (POSCAR):
```
CsRbCd2P2
1.0
4.465 0.000 0.000
-2.233 3.867 0.000
0.000 0.000 11.244
Cs Rb Cd P
1 1 2 2
Cartesian
0.000 0.000 0.000
0.000 0.000 5.622
0.000 2.578 2.922
2.233 1.289 8.322
0.000 2.578 8.336
2.233 1.289 2.909
```

# 3
Computed, not measured: CsCdPS2 after structural relaxation at the PBE level of DFT.

Output
Energy relative to the elements, uncorrected = 0.237 eV per atom
SG = P4/mmm

Structure (POSCAR):
```
CsCdPS2
1.0
5.290 0.000 0.000
0.000 5.290 0.000
0.000 0.000 5.165
Cs Cd P S
1 1 1 2
Cartesian
0.000 0.000 0.000
2.645 2.645 2.582
2.645 2.645 0.000
0.000 2.645 2.582
2.645 0.000 2.582
```

# 4
Computed, not measured: CsCdPS2 after structural relaxation at the PBE level of DFT.

Output
Energy relative to the elements, uncorrected = 1.362 eV per atom
SG = P4/mmm

Structure (POSCAR):
```
CsCdPS2
1.0
5.537 0.000 0.000
0.000 5.537 0.000
0.000 0.000 6.915
Cs Cd P S
1 1 1 2
Cartesian
0.000 0.000 0.000
2.768 2.768 3.457
0.000 0.000 3.457
0.000 2.768 0.000
2.768 0.000 0.000
```

# 5
Computed, not measured: Cs2CdPS4 after structural relaxation at the PBE level of DFT.

Output
Energy relative to the elements, uncorrected = -0.654 eV per atom
SG = Fddd

Structure (POSCAR):
```
Cs2CdPS4
1.0
0.000 7.132 12.377
3.109 0.000 12.377
3.109 7.132 0.000
Cs Cd P S
4 2 2 8
Cartesian
2.332 5.349 1.299
3.886 8.915 7.488
2.332 5.349 17.266
3.886 8.915 23.454
0.777 1.783 3.094
5.440 12.481 21.659
2.332 5.349 9.283
3.886 8.915 15.471
3.622 4.048 8.051
3.622 6.650 10.514
5.176 7.614 16.703
5.176 10.216 14.239
1.041 4.048 10.514
1.041 6.650 8.051
2.596 7.614 14.239
2.596 10.216 16.703
```

# 6
Computed, not measured: Cs2CdPSe4 after structural relaxation at the PBE level of DFT.

Output
Energy relative to the elements, uncorrected = -0.636 eV per atom
SG = Fddd

Structure (POSCAR):
```
Cs2CdPSe4
1.0
0.000 7.320 12.743
3.244 0.000 12.743
3.244 7.320 0.000
Cs Cd P Se
4 2 2 8
Cartesian
2.433 5.490 1.385
4.055 9.150 7.757
2.433 5.490 17.730
4.055 9.150 24.102
0.811 1.830 3.186
5.677 12.810 22.301
2.433 5.490 9.558
4.055 9.150 15.929
3.818 4.098 8.223
3.818 6.882 10.892
5.440 7.758 17.264
5.440 10.542 14.595
1.048 4.098 10.892
1.048 6.882 8.223
2.670 7.758 14.595
2.670 10.542 17.264
```

# 7
Computed, not measured: CsCdSiP2 after structural relaxation at the PBE level of DFT.

Output
Energy relative to the elements, uncorrected = -0.220 eV per atom
SG = Cmme

Structure (POSCAR):
```
CsCdSiP2
1.0
3.024 -7.090 0.000
3.024 7.090 0.000
0.000 0.000 6.946
Cs Cd Si P
2 2 2 4
Cartesian
3.024 3.545 5.300
3.024 -3.545 1.646
0.000 0.000 3.473
3.024 0.000 3.473
1.512 0.000 0.000
4.536 0.000 0.000
3.024 5.884 1.250
3.024 1.206 1.250
3.024 -1.206 5.696
3.024 -5.884 5.696
```

# 8
Computed, not measured: Cs2ZnCdP2 after structural relaxation at the PBE level of DFT.

Output
ΔE_f = -0.334 eV per atom
SG = Ibam

Structure (POSCAR):
```
Cs2ZnCdP2
1.0
-3.142 9.113 3.130
3.142 -9.113 3.130
3.142 9.113 -3.130
Cs Zn Cd P
4 2 2 4
Cartesian
1.543 3.041 0.000
1.543 -3.041 3.130
1.599 12.154 0.000
1.599 6.072 3.130
3.142 0.000 1.565
0.000 9.113 1.565
0.000 0.000 1.565
0.000 0.000 4.695
4.575 1.448 0.000
1.433 7.666 0.000
1.709 1.448 3.130
-1.433 7.666 3.130
```

# 9
Computed, not measured: Cs2ZnCdP after structural relaxation at the PBE level of DFT.

Output
ΔE_f = -0.055 eV per atom
SG = P4/mmm

Structure (POSCAR):
```
Cs2ZnCdP
1.0
7.184 0.000 0.000
0.000 7.184 0.000
0.000 0.000 4.495
Cs Zn Cd P
2 1 1 1
Cartesian
0.000 3.592 0.000
3.592 0.000 0.000
0.000 0.000 2.248
3.592 3.592 2.248
0.000 0.000 0.000
```

# 10
Computed, not measured: CsPaCd after structural relaxation at the PBE level of DFT.

Output
ΔE_f = 0.515 eV per atom
SG = C2/m

Structure (POSCAR):
```
CsPaCd
1.0
17.774 0.000 0.000
0.000 3.789 0.000
-2.051 0.000 7.675
Cs Pa Cd
4 4 4
Cartesian
0.434 0.000 2.198
6.402 1.895 5.477
9.322 1.895 2.198
15.289 0.000 5.477
1.636 1.895 7.143
5.200 0.000 0.532
10.523 0.000 7.143
14.087 1.895 0.532
3.089 0.000 4.936
3.747 1.895 2.738
11.976 1.895 4.936
12.635 0.000 2.738
```

# 11
Computed, not measured: Cs2PaCdS4 after structural relaxation at the PBE level of DFT.

Output
Energy relative to the elements, uncorrected = -1.124 eV per atom
SG = I-4

Structure (POSCAR):
```
Cs2PaCdS4
1.0
7.734 0.000 0.000
0.000 7.734 0.000
0.000 0.000 10.009
Cs Pa Cd S
4 2 2 8
Cartesian
0.000 0.000 0.000
0.000 3.867 2.502
3.867 0.000 7.507
3.867 3.867 5.005
0.000 3.867 7.507
3.867 0.000 2.502
0.000 0.000 5.005
3.867 3.867 0.000
1.164 1.955 6.215
1.912 5.031 8.799
1.955 6.570 3.794
2.703 1.912 1.210
5.031 5.822 1.210
5.779 1.164 3.794
5.822 2.703 8.799
6.570 5.779 6.215
```

# 12
Computed, not measured: Cs2PaCd2Se6 after structural relaxation at the PBE level of DFT.

Output
Energy relative to the elements, uncorrected = -0.894 eV per atom
SG = R-3m

Structure (POSCAR):
```
Cs2PaCd2Se6
1.0
4.051 2.339 7.441
-4.051 2.339 7.441
0.000 -4.677 7.441
Cs Pa Cd Se
2 1 2 6
Cartesian
0.000 0.000 4.921
0.000 0.000 17.403
0.000 0.000 0.000
0.000 0.000 9.014
0.000 0.000 13.310
-2.214 -1.278 13.097
0.000 -2.556 9.227
-2.214 1.278 9.227
2.214 -1.278 13.097
0.000 2.556 13.097
2.214 1.278 9.227
```